Record 1
# CuSe2I2 | Alexandria | PBEsol | relaxed
# ΔE_f (raw)   -0.028 eV/atom
# Theoretical density   5.3 Mg/m³
data_CuSe2I2
_space_group_name_H-M_alt 'C 1 m 1'
_space_group_IT_number 8
_space_group_name_Hall 'C -2y'
_cell_length_a 19.865
_cell_length_b 3.740
_cell_length_c 4.038
_cell_angle_alpha 90.00
_cell_angle_beta 92.14
_cell_angle_gamma 90.00
loop_
_atom_site_label
_atom_site_type_symbol
_atom_site_fract_x
_atom_site_fract_y
_atom_site_fract_z
Cu1 Cu 0.000 0.000 0.000
Se1 Se 0.070 0.500 0.080
Se2 Se 0.157 0.500 0.696
I1 I 0.265 0.500 0.096
I2 I 0.423 0.500 0.486

Record 2
# SrLa2Pb | Alexandria | PBEsol | relaxed
# Theoretical density   7.3 Mg/m³
# Energy relative to the elements   -0.291 eV/atom
data_SrLa2Pb
_space_group_name_H-M_alt 'P 4/m m m'
_space_group_IT_number 123
_space_group_name_Hall '-P 4 2'
_cell_length_a 5.041
_cell_length_b 5.041
_cell_length_c 5.116
_cell_angle_alpha 90.00
_cell_angle_beta 90.00
_cell_angle_gamma 90.00
loop_
_atom_site_label
_atom_site_type_symbol
_atom_site_fract_x
_atom_site_fract_y
_atom_site_fract_z
Sr1 Sr 0.000 0.000 0.000
La1 La 0.000 0.500 0.500
Pb1 Pb 0.500 0.500 0.000

Record 3
# LaSc2 | Alexandria | PBEsol | relaxed
# Theoretical density   4.7 Mg/m³
# Relative energy among the computed polymorphs   8 meV/atom
# Energy relative to the elements   0.065 eV/atom
data_LaSc2
_space_group_name_H-M_alt 'C 1 2/c 1'
_space_group_IT_number 15
_space_group_name_Hall '-C 2yc'
_cell_length_a 10.209
_cell_length_b 5.923
_cell_length_c 6.310
_cell_angle_alpha 90.00
_cell_angle_beta 122.25
_cell_angle_gamma 90.00
loop_
_atom_site_label
_atom_site_type_symbol
_atom_site_fract_x
_atom_site_fract_y
_atom_site_fract_z
La1 La 0.000 0.095 0.250
Sc1 Sc 0.164 0.421 0.759

Record 4
# ScZnPt | Alexandria | PBEsol | relaxed
# Theoretical density   8.8 Mg/m³
# Energy relative to the elements   -0.708 eV/atom
data_ScZnPt
_space_group_name_H-M_alt 'F -4 3 m'
_space_group_IT_number 216
_space_group_name_Hall 'F -4 2 3'
_cell_length_a 6.130
_cell_length_b 6.130
_cell_length_c 6.130
_cell_angle_alpha 90.00
_cell_angle_beta 90.00
_cell_angle_gamma 90.00
loop_
_atom_site_label
_atom_site_type_symbol
_atom_site_fract_x
_atom_site_fract_y
_atom_site_fract_z
Sc1 Sc 0.000 0.000 0.000
Zn1 Zn 0.000 0.000 0.500
Pt1 Pt 0.250 0.250 0.250

Record 5
# Mg2ZnSi | Alexandria | PBEsol | relaxed
# ΔE_f (raw)   -0.079 eV/atom
# Theoretical density   3.2 Mg/m³
data_Mg2ZnSi
_space_group_name_H-M_alt 'A m m 2'
_space_group_IT_number 38
_space_group_name_Hall 'A 2 -2'
_cell_length_a 3.984
_cell_length_b 3.901
_cell_length_c 9.540
_cell_angle_alpha 90.00
_cell_angle_beta 90.00
_cell_angle_gamma 90.00
loop_
_atom_site_label
_atom_site_type_symbol
_atom_site_fract_x
_atom_site_fract_y
_atom_site_fract_z
Mg1 Mg 0.000 0.000 0.000
Mg2 Mg 0.500 0.000 0.289
Zn1 Zn 0.000 0.000 0.717
Si1 Si 0.500 0.000 0.573

Record 6
# K2CrCo | Alexandria | PBEsol | relaxed
# Theoretical density   3.0 Mg/m³
# Relative energy among the computed polymorphs   595 meV/atom
# Energy relative to the elements   1.467 eV/atom
data_K2CrCo
_space_group_name_H-M_alt 'F -4 3 m'
_space_group_IT_number 216
_space_group_name_Hall 'F -4 2 3'
_cell_length_a 7.471
_cell_length_b 7.471
_cell_length_c 7.471
_cell_angle_alpha 90.00
_cell_angle_beta 90.00
_cell_angle_gamma 90.00
loop_
_atom_site_label
_atom_site_type_symbol
_atom_site_fract_x
_atom_site_fract_y
_atom_site_fract_z
K1 K 0.000 0.000 0.000
K2 K 0.250 0.250 0.250
Cr1 Cr 0.000 0.000 0.500
Co1 Co 0.250 0.250 0.750

Record 7
# Li2AlCd | Alexandria | PBEsol | relaxed
# Theoretical density   3.7 Mg/m³
# Energy relative to the elements   -0.151 eV/atom
data_Li2AlCd
_space_group_name_H-M_alt 'P 1'
_space_group_IT_number 1
_space_group_name_Hall 'P 1'
_cell_length_a 2.848
_cell_length_b 4.857
_cell_length_c 5.180
_cell_angle_alpha 95.87
_cell_angle_beta 90.84
_cell_angle_gamma 105.74
loop_
_atom_site_label
_atom_site_type_symbol
_atom_site_fract_x
_atom_site_fract_y
_atom_site_fract_z
Li1 Li 0.000 0.000 0.000
Li2 Li 0.225 0.468 0.741
Al1 Al 0.734 0.482 0.239
Cd1 Cd 0.487 0.977 0.497

Record 8
# CrNiRh | Alexandria | PBEsol | relaxed
# Theoretical density   10.1 Mg/m³
# Relative energy among the computed polymorphs   0 meV/atom
# Energy relative to the elements   -0.056 eV/atom
data_CrNiRh
_space_group_name_H-M_alt 'I m m 2'
_space_group_IT_number 44
_space_group_name_Hall 'I 2 -2'
_cell_length_a 2.577
_cell_length_b 3.550
_cell_length_c 7.670
_cell_angle_alpha 90.00
_cell_angle_beta 90.00
_cell_angle_gamma 90.00
loop_
_atom_site_label
_atom_site_type_symbol
_atom_site_fract_x
_atom_site_fract_y
_atom_site_fract_z
Cr1 Cr 0.000 0.000 0.000
Ni1 Ni 0.000 0.000 0.661
Rh1 Rh 0.000 0.000 0.333

Record 9
# GdAl2Si2 | Alexandria | PBEsol | relaxed
# ΔE_f (raw)   -0.409 eV/atom
# Theoretical density   4.5 Mg/m³
data_GdAl2Si2
_space_group_name_H-M_alt 'P -3 m 1'
_space_group_IT_number 164
_space_group_name_Hall '-P 3 2"'
_cell_length_a 4.1757
_cell_length_b 4.1757
_cell_length_c 6.5517
_cell_angle_alpha 90.00
_cell_angle_beta 90.00
_cell_angle_gamma 120.00
loop_
_atom_site_label
_atom_site_type_symbol
_atom_site_fract_x
_atom_site_fract_y
_atom_site_fract_z
Gd1 Gd 0.0000 0.0000 0.0000
Al1 Al 0.3333 0.6667 0.6436
Si1 Si 0.3333 0.6667 0.2579

Record 10
# SbP3Br | Alexandria | PBEsol | relaxed
# ΔE_f (raw)   1.288 eV/atom
# Theoretical density   4.5 Mg/m³
data_SbP3Br
_space_group_name_H-M_alt 'P m -3 m'
_space_group_IT_number 221
_space_group_name_Hall '-P 4 2 3'
_cell_length_a 4.781
_cell_length_b 4.781
_cell_length_c 4.781
_cell_angle_alpha 90.00
_cell_angle_beta 90.00
_cell_angle_gamma 90.00
loop_
_atom_site_label
_atom_site_type_symbol
_atom_site_fract_x
_atom_site_fract_y
_atom_site_fract_z
Sb1 Sb 0.000 0.000 0.000
P1 P 0.000 0.500 0.500
Br1 Br 0.500 0.500 0.500

Record 11
# SrSb7 | Alexandria | PBEsol | relaxed
# ΔE_f (raw)   -0.083 eV/atom
# Theoretical density   7.2 Mg/m³
data_SrSb7
_space_group_name_H-M_alt 'F m -3 m'
_space_group_IT_number 225
_space_group_name_Hall '-F 4 2 3'
_cell_length_a 9.522
_cell_length_b 9.522
_cell_length_c 9.522
_cell_angle_alpha 90.00
_cell_angle_beta 90.00
_cell_angle_gamma 90.00
loop_
_atom_site_label
_atom_site_type_symbol
_atom_site_fract_x
_atom_site_fract_y
_atom_site_fract_z
Sr1 Sr 0.000 0.000 0.000
Sb1 Sb 0.000 0.000 0.500
Sb2 Sb 0.000 0.250 0.250

Record 12
# MoRh2 | Alexandria | PBEsol | relaxed
# Theoretical density   12.0 Mg/m³
# Energy relative to the elements   -0.198 eV/atom
data_MoRh2
_space_group_name_H-M_alt 'I 41/a m d'
_space_group_IT_number 141
_cell_length_a 3.829
_cell_length_b 3.829
_cell_length_c 22.837
_cell_angle_alpha 90.00
_cell_angle_beta 90.00
_cell_angle_gamma 90.00
loop_
_space_group_symop_operation_xyz
'x,y,z'
'-x,-y,-z'
'-y+1/4,x+3/4,z+1/4'
'y+1/4,-x+3/4,-z+1/4'
'-x+1/2,-y,z+1/2'
'x+1/2,y,-z+1/2'
'y+1/4,-x+1/4,z+3/4'
'-y+1/4,x+1/4,-z+3/4'
'x,-y,-z'
'-x,y,z'
'-y+1/4,-x+1/4,-z+3/4'
'y+1/4,x+1/4,z+3/4'
'-x+1/2,y,-z+1/2'
'x+1/2,-y,z+1/2'
'y+1/4,x+3/4,-z+1/4'
'-y+1/4,-x+3/4,z+1/4'
'x+1/2,y+1/2,z+1/2'
'-x+1/2,-y+1/2,-z+1/2'
'-y+3/4,x+1/4,z+3/4'
'y+3/4,-x+1/4,-z+3/4'
'-x,-y+1/2,z'
'x,y+1/2,-z'
'y+3/4,-x+3/4,z+1/4'
'-y+3/4,x+3/4,-z+1/4'
'x+1/2,-y+1/2,-z+1/2'
'-x+1/2,y+1/2,z+1/2'
'-y+3/4,-x+3/4,-z+1/4'
'y+3/4,x+3/4,z+1/4'
'-x,y+1/2,-z'
'x,-y+1/2,z'
'y+3/4,x+1/4,-z+3/4'
'-y+3/4,-x+1/4,z+3/4'
loop_
_atom_site_label
_atom_site_type_symbol
_atom_site_fract_x
_atom_site_fract_y
_atom_site_fract_z
Mo1 Mo 0.000 0.250 0.292
Rh1 Rh 0.000 0.250 0.124
Rh2 Rh 0.000 0.250 0.792

Record 13
# LiAl2Pt | Alexandria | PBEsol | relaxed
# Theoretical density   7.4 Mg/m³
# Energy relative to the elements   -0.602 eV/atom
data_LiAl2Pt
_space_group_name_H-M_alt 'P m m m'
_space_group_IT_number 47
_space_group_name_Hall '-P 2 2'
_cell_length_a 2.880
_cell_length_b 3.554
_cell_length_c 5.588
_cell_angle_alpha 90.00
_cell_angle_beta 90.00
_cell_angle_gamma 90.00
loop_
_atom_site_label
_atom_site_type_symbol
_atom_site_fract_x
_atom_site_fract_y
_atom_site_fract_z
Li1 Li 0.000 0.000 0.000
Al1 Al 0.500 0.500 0.253
Pt1 Pt 0.000 0.000 0.500

Record 14
# MgZn2CuNi | Alexandria | PBEsol | relaxed
# Theoretical density   5.4 Mg/m³
# Energy relative to the elements   0.426 eV/atom
data_MgZn2CuNi
_space_group_name_H-M_alt 'P 4/m m m'
_space_group_IT_number 123
_space_group_name_Hall '-P 4 2'
_cell_length_a 4.397
_cell_length_b 4.397
_cell_length_c 4.424
_cell_angle_alpha 90.00
_cell_angle_beta 90.00
_cell_angle_gamma 90.00
loop_
_atom_site_label
_atom_site_type_symbol
_atom_site_fract_x
_atom_site_fract_y
_atom_site_fract_z
Mg1 Mg 0.000 0.000 0.000
Zn1 Zn 0.000 0.500 0.500
Cu1 Cu 0.500 0.500 0.500
Ni1 Ni 0.500 0.500 0.000

Record 15
# Li2V4Si4O13 | Alexandria | PBEsol | relaxed
# ΔE_f (raw)   -2.266 eV/atom
# Theoretical density   3.7 Mg/m³
data_Li2V4Si4O13
_space_group_name_H-M_alt 'P -1'
_space_group_IT_number 2
_space_group_name_Hall '-P 1'
_cell_length_a 6.858
_cell_length_b 7.826
_cell_length_c 9.999
_cell_angle_alpha 68.49
_cell_angle_beta 80.25
_cell_angle_gamma 77.41
loop_
_atom_site_label
_atom_site_type_symbol
_atom_site_fract_x
_atom_site_fract_y
_atom_site_fract_z
Li1 Li 0.217 0.060 0.436
Li2 Li 0.281 0.504 0.875
V1 V 0.078 0.191 0.985
V2 V 0.082 0.539 0.626
V3 V 0.415 0.457 0.375
V4 V 0.416 0.813 0.010
Si1 Si 0.124 0.845 0.290
Si2 Si 0.228 0.421 0.168
Si3 Si 0.229 0.854 0.720
Si4 Si 0.435 0.159 0.708
O1 O 0.005 0.460 0.849
O2 O 0.026 0.995 0.649
O3 O 0.108 0.631 0.393
O4 O 0.119 0.899 0.116
O5 O 0.208 0.768 0.895
O6 O 0.213 0.309 0.345
O7 O 0.286 0.295 0.064
O8 O 0.291 0.692 0.650
O9 O 0.324 0.895 0.324
O10 O 0.371 0.376 0.605
O11 O 0.374 0.113 0.881
O12 O 0.380 0.008 0.648
O13 O 0.407 0.543 0.151

Record 16
# AlHgPb2 | Alexandria | PBEsol | relaxed
# Theoretical density   10.7 Mg/m³
# Relative energy among the computed polymorphs   5 meV/atom
# Energy relative to the elements   0.092 eV/atom
data_AlHgPb2
_space_group_name_H-M_alt 'C m m 2'
_space_group_IT_number 35
_space_group_name_Hall 'C 2 -2'
_cell_length_a 4.752
_cell_length_b 4.775
_cell_length_c 8.758
_cell_angle_alpha 90.00
_cell_angle_beta 90.00
_cell_angle_gamma 90.00
loop_
_atom_site_label
_atom_site_type_symbol
_atom_site_fract_x
_atom_site_fract_y
_atom_site_fract_z
Al1 Al 0.000 0.000 0.000
Hg1 Hg 0.000 0.500 0.189
Pb1 Pb 0.000 0.000 0.454
Pb2 Pb 0.000 0.500 0.753

Record 17
# HSeS2Cl | Alexandria | PBEsol | relaxed
# Raw total energy   -2.9943 eV per atom
# Theoretical density   3.3 Mg/m³
data_HSeS2Cl
_space_group_name_H-M_alt 'P 4/m m m'
_space_group_IT_number 123
_space_group_name_Hall '-P 4 2'
_cell_length_a 3.616
_cell_length_b 3.616
_cell_length_c 6.835
_cell_angle_alpha 90.00
_cell_angle_beta 90.00
_cell_angle_gamma 90.00
loop_
_atom_site_label
_atom_site_type_symbol
_atom_site_fract_x
_atom_site_fract_y
_atom_site_fract_z
H1 H 0.000 0.000 0.000
Se1 Se 0.500 0.500 0.500
S1 S 0.000 0.500 0.000
Cl1 Cl 0.000 0.000 0.500

Record 18
# AlP3H6O12 | Alexandria | PBEsol | relaxed
# Raw total energy   -6.5989 eV per atom
# Theoretical density   2.4 Mg/m³
data_AlP3H6O12
_space_group_name_H-M_alt 'P 1 2/c 1'
_space_group_IT_number 13
_space_group_name_Hall '-P 2yc'
_cell_length_a 7.690
_cell_length_b 4.851
_cell_length_c 11.792
_cell_angle_alpha 90.00
_cell_angle_beta 96.53
_cell_angle_gamma 90.00
loop_
_atom_site_label
_atom_site_type_symbol
_atom_site_fract_x
_atom_site_fract_y
_atom_site_fract_z
Al1 Al 0.000 0.000 0.000
P1 P 0.000 0.238 0.250
P2 P 0.228 0.496 0.596
H1 H 0.294 0.072 0.869
H2 H 0.481 0.072 0.367
H3 H 0.498 0.342 0.868
O1 O 0.075 0.077 0.354
O2 O 0.146 0.306 0.007
O3 O 0.151 0.435 0.217
O4 O 0.191 0.196 0.572
O5 O 0.416 0.102 0.853
O6 O 0.427 0.459 0.123

Record 19
# SiAsW3 | Alexandria | PBEsol | relaxed
# ΔE_f (raw)   1.575 eV/atom
# Theoretical density   12.1 Mg/m³
# Relative energy among the computed polymorphs   0 meV/atom
data_SiAsW3
_space_group_name_H-M_alt 'P m -3 m'
_space_group_IT_number 221
_space_group_name_Hall '-P 4 2 3'
_cell_length_a 4.479
_cell_length_b 4.479
_cell_length_c 4.479
_cell_angle_alpha 90.00
_cell_angle_beta 90.00
_cell_angle_gamma 90.00
loop_
_atom_site_label
_atom_site_type_symbol
_atom_site_fract_x
_atom_site_fract_y
_atom_site_fract_z
Si1 Si 0.000 0.000 0.000
As1 As 0.500 0.500 0.500
W1 W 0.000 0.000 0.500

Record 20
# LaCN2O | Alexandria | PBEsol | relaxed
# ΔE_f (raw)   0.159 eV/atom
# Theoretical density   6.6 Mg/m³
data_LaCN2O
_space_group_name_H-M_alt 'P 4/m m m'
_space_group_IT_number 123
_space_group_name_Hall '-P 4 2'
_cell_length_a 3.393
_cell_length_b 3.393
_cell_length_c 4.265
_cell_angle_alpha 90.00
_cell_angle_beta 90.00
_cell_angle_gamma 90.00
loop_
_atom_site_label
_atom_site_type_symbol
_atom_site_fract_x
_atom_site_fract_y
_atom_site_fract_z
La1 La 0.000 0.000 0.000
C1 C 0.500 0.500 0.500
N1 N 0.000 0.500 0.500
O1 O 0.500 0.500 0.000

Record 21
# BaCaCrAu2 | Alexandria | PBEsol | relaxed
# Theoretical density   5.6 Mg/m³
# Energy relative to the elements   0.902 eV/atom
data_BaCaCrAu2
_space_group_name_H-M_alt 'P 4/m m m'
_space_group_IT_number 123
_space_group_name_Hall '-P 4 2'
_cell_length_a 5.708
_cell_length_b 5.708
_cell_length_c 5.679
_cell_angle_alpha 90.00
_cell_angle_beta 90.00
_cell_angle_gamma 90.00
loop_
_atom_site_label
_atom_site_type_symbol
_atom_site_fract_x
_atom_site_fract_y
_atom_site_fract_z
Ba1 Ba 0.000 0.000 0.000
Ca1 Ca 0.500 0.500 0.500
Cr1 Cr 0.000 0.000 0.500
Au1 Au 0.000 0.500 0.000

Record 22
# FeNiOs2 | Alexandria | PBEsol | relaxed
# Theoretical density   16.0 Mg/m³
# Relative energy among the computed polymorphs   244 meV/atom
# Energy relative to the elements   0.379 eV/atom
data_FeNiOs2
_space_group_name_H-M_alt 'C 1 2/m 1'
_space_group_IT_number 12
_space_group_name_Hall '-C 2y'
_cell_length_a 5.185
_cell_length_b 8.569
_cell_length_c 2.577
_cell_angle_alpha 90.00
_cell_angle_beta 116.24
_cell_angle_gamma 90.00
loop_
_atom_site_label
_atom_site_type_symbol
_atom_site_fract_x
_atom_site_fract_y
_atom_site_fract_z
Fe1 Fe 0.000 0.000 0.000
Ni1 Ni 0.000 0.500 0.000
Os1 Os 0.250 0.250 0.500

Record 23
# BaCdMo | Alexandria | PBEsol | relaxed
# Theoretical density   7.2 Mg/m³
# Energy relative to the elements   0.870 eV/atom
data_BaCdMo
_space_group_name_H-M_alt 'I 4 m m'
_space_group_IT_number 107
_space_group_name_Hall 'I 4 -2'
_cell_length_a 3.664
_cell_length_b 3.664
_cell_length_c 11.848
_cell_angle_alpha 90.00
_cell_angle_beta 90.00
_cell_angle_gamma 90.00
loop_
_atom_site_label
_atom_site_type_symbol
_atom_site_fract_x
_atom_site_fract_y
_atom_site_fract_z
Ba1 Ba 0.000 0.000 0.000
Cd1 Cd 0.000 0.000 0.288
Mo1 Mo 0.000 0.000 0.699

Record 24
# ScCr2Fe | Alexandria | PBEsol | relaxed
# Theoretical density   6.7 Mg/m³
# Relative energy among the computed polymorphs   0 meV/atom
# Energy relative to the elements   0.203 eV/atom
data_ScCr2Fe
_space_group_name_H-M_alt 'F -4 3 m'
_space_group_IT_number 216
_space_group_name_Hall 'F -4 2 3'
_cell_length_a 5.873
_cell_length_b 5.873
_cell_length_c 5.873
_cell_angle_alpha 90.00
_cell_angle_beta 90.00
_cell_angle_gamma 90.00
loop_
_atom_site_label
_atom_site_type_symbol
_atom_site_fract_x
_atom_site_fract_y
_atom_site_fract_z
Sc1 Sc 0.000 0.000 0.000
Cr1 Cr 0.000 0.000 0.500
Cr2 Cr 0.250 0.250 0.750
Fe1 Fe 0.250 0.250 0.250